This record from Alexandria via LeMat-Bulk describes an optimized crystal structure of Na2P3Pt12Au. The functional is PBE.

As for the formation energy: -109 meV per atom.

```
data_Na2P3Pt12Au
_symmetry_space_group_name_H-M 'R -3 m'
_symmetry_Int_Tables_number 166
_symmetry_space_group_name_Hall '-R 3 2"'
_cell_length_a 8.7419
_cell_length_b 8.7419
_cell_length_c 13.6388
_cell_angle_alpha 90.00
_cell_angle_beta 90.00
_cell_angle_gamma 120.00
loop_
_atom_site_label
_atom_site_type_symbol
_atom_site_fract_x
_atom_site_fract_y
_atom_site_fract_z
Na1 Na 0.0000 0.0000 0.0852
P1 P 0.0000 0.5000 0.0000
Pt1 Pt 0.0258 0.5129 0.8349
Pt2 Pt 0.0413 0.5206 0.3677
Au1 Au 0.0000 0.0000 0.5000
```

This record from Alexandria via LeMat-Bulk describes an optimized crystal structure of NaTmVCl6. The functional is PBE.

As for the energy relative to the elements, uncorrected: -174 kJ/mol of atoms.

```
data_NaTmVCl6
_symmetry_space_group_name_H-M 'P -3 1 c'
_symmetry_Int_Tables_number 163
_symmetry_space_group_name_Hall '-P 3 2c'
_cell_length_a 6.5149
_cell_length_b 6.5149
_cell_length_c 12.7164
_cell_angle_alpha 90.00
_cell_angle_beta 90.00
_cell_angle_gamma 120.00
loop_
_atom_site_label
_atom_site_type_symbol
_atom_site_fract_x
_atom_site_fract_y
_atom_site_fract_z
Na1 Na 0.0000 0.0000 0.0000
Tm1 Tm 0.3333 0.6667 0.2500
V1 V 0.3333 0.6667 0.7500
Cl1 Cl 0.0143 0.3629 0.6359
```

| no. | total moment (μB per cell) |
| --- | --- |
| 1 | 0.000 |
| 2 | 6.000 |